Computed, not measured: crystalline TbMgCuS3 at its relaxed geometry at the PBE-GGA level of DFT.

```
TbMgCuS3
1.0
7.381 0.000 0.000
0.000 3.715 0.000
-1.510 0.000 8.680
Cu Mg S Tb
2 2 6 2
Cartesian
2.400 2.786 3.649
3.470 0.929 5.032
4.833 0.929 2.395
1.037 2.786 6.285
6.460 2.786 1.338
3.065 2.786 1.434
1.068 0.929 4.246
4.803 2.786 4.434
2.805 0.929 7.246
-0.590 0.929 7.343
1.114 0.929 1.499
4.756 2.786 7.181
```

Computed properties:
- Calculated volume: 19.83 A^3/atom
- ΔE to the lowest computed polymorph: 0.0000 eV per atom



Computed, not measured: crystalline TbMgCuTe2S at its relaxed geometry at the PBE-GGA level of DFT.

```
TbMgCuTe2S
1.0
1.186 6.978 -0.094
-3.237 -5.420 3.203
8.358 -1.336 6.186
Cu Mg S Tb Te
2 2 2 2 4
Cartesian
3.214 6.473 1.497
3.092 -6.251 7.797
-0.176 -3.030 4.025
6.482 3.252 5.269
1.441 1.502 2.820
4.866 -1.280 6.474
-1.026 0.779 1.554
3.153 0.111 4.647
1.146 4.946 0.898
4.028 4.486 3.031
2.278 -4.263 6.263
5.160 -4.724 8.396
```

Computed properties:
- Calculated volume: 23.93 A^3/atom
- Energy: -51.357 eV/cell



Computed, not measured: crystalline YMgCuTeS2 at its relaxed geometry at the PBE-GGA level of DFT.

```
YMgCuTeS2
1.0
1.903 -6.591 0.000
1.903 6.591 0.000
0.000 0.000 10.799
Cu Mg S Te Y
2 2 4 2 2
Cartesian
1.903 6.386 2.700
1.903 -6.386 8.100
1.903 -2.544 2.700
1.903 2.544 8.100
1.903 4.868 0.954
1.903 4.868 4.446
1.903 -4.868 6.353
1.903 -4.868 9.846
1.903 1.607 2.700
1.903 -1.607 8.100
1.903 0.000 0.000
1.903 0.000 5.400
```

Computed properties:
- Calculated volume: 22.58 A^3/atom
- Energy: -59.809 eV/cell